[1]
Density functional theory data (PBE) for YZrW2 after structural relaxation.

Computed properties:
For the relative energy among the computed polymorphs, the calculation gives 378.2 meV per atom. As for the formation energy: 13.5 kcal/mol of atoms.

```
data_YZrW2
_chemical_formula_sum 'Y1 Zr1 W2'
_symmetry_space_group_name_H-M 'P 1'
_symmetry_Int_Tables_number 1
_cell_length_a 5.703
_cell_length_b 5.703
_cell_length_c 2.813
_cell_angle_alpha 90.00
_cell_angle_beta 90.00
_cell_angle_gamma 119.23
loop_
_symmetry_equiv_pos_as_xyz
'x,y,z'
loop_
_atom_site_label
_atom_site_type_symbol
_atom_site_fract_x
_atom_site_fract_y
_atom_site_fract_z
W1 W 0.000 0.000 0.000
W2 W 0.500 0.500 0.000
Y1 Y 0.500 0.000 0.500
Zr1 Zr 0.000 0.500 0.500
```

[2]
Density functional theory data (PBE) for CaSeF after structural relaxation.

Computed properties:
As for the formation energy without anion corrections: -7.6 eV per formula unit.

```
data_CaSeF
_chemical_formula_sum 'Ca4 Se4 F4'
_symmetry_space_group_name_H-M 'P 1'
_symmetry_Int_Tables_number 1
_cell_length_a 3.898
_cell_length_b 12.614
_cell_length_c 5.100
_cell_angle_alpha 90.00
_cell_angle_beta 90.00
_cell_angle_gamma 90.00
loop_
_symmetry_equiv_pos_as_xyz
'x,y,z'
loop_
_atom_site_label
_atom_site_type_symbol
_atom_site_fract_x
_atom_site_fract_y
_atom_site_fract_z
Ca1 Ca 0.000 0.847 0.309
Ca2 Ca 0.000 0.153 0.809
Ca3 Ca 0.500 0.347 0.309
Ca4 Ca 0.500 0.653 0.809
Se1 Se 0.000 0.477 0.624
Se2 Se 0.000 0.523 0.124
Se3 Se 0.500 0.977 0.624
Se4 Se 0.500 0.023 0.124
F1 F 0.000 0.260 0.176
F2 F 0.000 0.740 0.676
F3 F 0.500 0.760 0.176
F4 F 0.500 0.240 0.676
```

[3]
Density functional theory data (PBE) for PmTa2S6 after structural relaxation.

Computed properties:
As for the formation energy without anion corrections: -10.1 eV per formula unit.

```
data_PmTa2S6
_chemical_formula_sum 'Pm1 Ta2 S6'
_symmetry_space_group_name_H-M 'P 1'
_symmetry_Int_Tables_number 1
_cell_length_a 4.859
_cell_length_b 6.346
_cell_length_c 8.117
_cell_angle_alpha 71.27
_cell_angle_beta 72.58
_cell_angle_gamma 67.49
loop_
_symmetry_equiv_pos_as_xyz
'x,y,z'
loop_
_atom_site_label
_atom_site_type_symbol
_atom_site_fract_x
_atom_site_fract_y
_atom_site_fract_z
Pm1 Pm 0.000 0.500 0.500
Ta1 Ta 0.190 0.698 0.922
Ta2 Ta 0.810 0.302 0.078
S1 S 0.693 0.711 0.904
S2 S 0.307 0.289 0.096
S3 S 0.979 0.855 0.188
S4 S 0.347 0.691 0.616
S5 S 0.021 0.145 0.812
S6 S 0.653 0.309 0.384
```

[4]
Density functional theory data (PBE) for TaZn2Ir after structural relaxation.

Computed properties:
As for the formation energy: -5.4 kcal/mol of atoms.

```
data_TaZn2Ir
_chemical_formula_sum 'Ta1 Zn2 Ir1'
_symmetry_space_group_name_H-M 'P 1'
_symmetry_Int_Tables_number 1
_cell_length_a 2.995
_cell_length_b 2.995
_cell_length_c 6.858
_cell_angle_alpha 90.00
_cell_angle_beta 90.00
_cell_angle_gamma 90.00
loop_
_symmetry_equiv_pos_as_xyz
'x,y,z'
loop_
_atom_site_label
_atom_site_type_symbol
_atom_site_fract_x
_atom_site_fract_y
_atom_site_fract_z
Ir1 Ir 0.000 0.000 0.494
Ta1 Ta 0.500 0.500 0.739
Zn1 Zn 0.000 0.000 0.016
Zn2 Zn 0.500 0.500 0.251
```

[5]
Density functional theory data (PBE) for TaTiOsPdPb after structural relaxation.

Computed properties:
For the relative energy among the computed polymorphs, the calculation gives 96.3 meV per atom. As for the formation energy: -2.3 kcal/mol of atoms.

```
data_TaTiOsPdPb
_chemical_formula_sum 'Ta2 Ti2 Os2 Pd2 Pb2'
_symmetry_space_group_name_H-M 'P 1'
_symmetry_Int_Tables_number 1
_cell_length_a 3.074
_cell_length_b 3.883
_cell_length_c 14.971
_cell_angle_alpha 90.00
_cell_angle_beta 96.14
_cell_angle_gamma 90.00
loop_
_symmetry_equiv_pos_as_xyz
'x,y,z'
loop_
_atom_site_label
_atom_site_type_symbol
_atom_site_fract_x
_atom_site_fract_y
_atom_site_fract_z
Pb1 Pb 0.815 0.000 0.689
Pb2 Pb 0.815 0.500 0.189
Ti1 Ti 0.242 0.000 0.070
Ti2 Ti 0.242 0.500 0.570
Os1 Os 0.596 0.000 0.486
Os2 Os 0.596 0.500 0.986
Pd1 Pd 0.416 0.000 0.297
Pd2 Pd 0.416 0.500 0.797
Ta1 Ta 0.965 0.000 0.897
Ta2 Ta 0.965 0.500 0.397
```

[6]
Density functional theory data (PBE) for Be3TlSe after structural relaxation.

Computed properties:
As for the formation energy without anion corrections: 4.5 eV per formula unit. For the relative energy among the computed polymorphs, the calculation gives 0.0 meV per atom.

```
data_Be3TlSe
_chemical_formula_sum 'Be3 Tl1 Se1'
_symmetry_space_group_name_H-M 'P 1'
_symmetry_Int_Tables_number 1
_cell_length_a 4.455
_cell_length_b 4.455
_cell_length_c 4.455
_cell_angle_alpha 90.00
_cell_angle_beta 90.00
_cell_angle_gamma 90.00
loop_
_symmetry_equiv_pos_as_xyz
'x,y,z'
loop_
_atom_site_label
_atom_site_type_symbol
_atom_site_fract_x
_atom_site_fract_y
_atom_site_fract_z
Be1 Be 0.000 0.500 0.000
Be2 Be 0.000 0.000 0.500
Be3 Be 0.500 0.000 0.000
Tl1 Tl 0.500 0.500 0.500
Se1 Se 0.000 0.000 0.000
```